# 1
K2GeSbAs | meta-GGA SCAN | PBEsol geometry

POSCAR file:
```
K2GeSbAs
1.0
6.387 0.000 0.000
0.000 6.387 0.000
0.000 0.000 5.008
K Ge Sb As
2 1 1 1
direct
0.000 0.500 0.000
0.500 0.000 0.000
0.000 0.000 0.000
0.000 0.000 0.500
0.500 0.500 0.500
```

Output
For the total energy, the calculation gives -18.3132 eV per atom. The space group is P4/mmm.



# 2
KGeAsSe2 | meta-GGA SCAN | PBEsol geometry

POSCAR file:
```
KGeAsSe2
1.0
5.174 0.000 0.000
0.000 5.174 0.000
0.000 0.000 4.864
K Ge As Se
1 1 1 2
direct
0.000 0.000 0.000
0.500 0.500 0.500
0.500 0.500 0.000
0.000 0.500 0.500
0.500 0.000 0.500
```

Output
For the total energy, the calculation gives -17.6111 eV per atom. The space group is P4/mmm.



# 3
MgTc2GeAs | meta-GGA SCAN | PBEsol geometry

POSCAR file:
```
MgTc2GeAs
1.0
4.639 0.000 0.000
0.000 4.639 0.000
0.000 0.000 4.435
Mg Tc Ge As
1 2 1 1
direct
0.000 0.000 0.000
0.000 0.500 0.000
0.500 0.000 0.000
0.000 0.000 0.500
0.500 0.500 0.500
```

Output
The space group is P4/mmm. The formation enthalpy at 0 K comes out at 1777 meV/atom.



# 4
Mn2NbGeAs | meta-GGA SCAN | PBEsol geometry

POSCAR file:
```
Mn2NbGeAs
1.0
4.605 0.000 0.000
0.000 4.605 0.000
0.000 0.000 4.910
Mn Nb Ge As
2 1 1 1
direct
0.000 0.500 0.000
0.500 0.000 0.000
0.000 0.000 0.000
0.000 0.000 0.500
0.500 0.500 0.500
```

Output
The space group is P4/mmm. The formation enthalpy at 0 K comes out at 1040 meV/atom.



# 5
TiMn2GeAs | meta-GGA SCAN | PBEsol geometry

POSCAR file:
```
TiMn2GeAs
1.0
4.367 0.000 0.000
0.000 4.367 0.000
0.000 0.000 4.957
Ti Mn Ge As
1 2 1 1
direct
0.000 0.000 0.000
0.000 0.500 0.500
0.500 0.000 0.500
0.500 0.500 0.000
0.500 0.500 0.500
```

Output
The space group is P4/mmm. The formation enthalpy at 0 K comes out at 449 meV/atom.



# 6
GeMo3As | meta-GGA SCAN | PBEsol geometry

POSCAR file:
```
GeMo3As
1.0
4.546 0.000 0.000
0.000 4.546 0.000
0.000 0.000 4.546
Ge Mo As
1 3 1
direct
0.000 0.000 0.000
0.000 0.500 0.500
0.500 0.000 0.500
0.500 0.500 0.000
0.500 0.500 0.500
```

Output
The space group is Pm-3m. The formation enthalpy at 0 K comes out at 1212 meV/atom.